# La2MgAl

An optimized crystal structure of La2MgAl (PBE, Alexandria via LeMat-Bulk).

Results
The calculation puts the density of states at the Fermi level at 0.9637 states/eV per atom. As for the total energy: -0.28171 Ry per atom. For the formation enthalpy at 0 K, the calculation gives -0.0348 eV per atom.

a = 3.5157 Å, b = 4.6737 Å, c = 6.7653 Å
α = 90.00°, β = 90.00°, γ = 90.00°
Element x y z (fractional)
La 0.0000 0.0000 0.9952
La 0.5000 0.5000 0.2437
Mg 0.0000 0.0000 0.5161
Al 0.5000 0.5000 0.7450



# Th6BiOs

An optimized crystal structure of Th6BiOs (PBE, Alexandria via LeMat-Bulk).

Results
The calculation puts the density of states at the Fermi level at 1.5234 states/eV per atom. As for the total energy: -0.54893 Ry per atom. For the formation enthalpy at 0 K, the calculation gives -0.0149 eV per atom.

a = 6.5821 Å, b = 6.5821 Å, c = 6.5851 Å
α = 101.87°, β = 101.87°, γ = 101.93°
Element x y z (fractional)
Th 0.2013 0.5986 0.2018
Th 0.7984 0.7984 0.4006
Th 0.5986 0.2013 0.2018
Th 0.7987 0.4014 0.7982
Th 0.4014 0.7987 0.7982
Th 0.2016 0.2016 0.5994
Os 0.5000 0.5000 0.5000
Bi 0.0000 0.0000 0.0000